# 1
NaScSi | GGA-PBE | optimized geometry

a b c (Å): 6.5976 6.5976 6.5976
angles (deg): 90.00 90.00 90.00
Closest atoms and distances in Å follow each position.
Positions (direct):
Na 0.0000 0.0000 0.0000  4 Si 2.86
Na 0.0000 0.5000 0.5000  4 Si 2.86
Na 0.5000 0.0000 0.5000  4 Si 2.86
Na 0.5000 0.5000 0.0000  4 Si 2.86
Sc 0.0000 0.0000 0.5000  4 Si 2.86
Sc 0.0000 0.5000 0.0000  4 Si 2.86
Sc 0.5000 0.0000 0.0000  4 Si 2.86
Sc 0.5000 0.5000 0.5000  4 Si 2.86
Si 0.2500 0.2500 0.7500  4 Na 2.86, 4 Sc 2.86
Si 0.2500 0.7500 0.2500  4 Na 2.86, 4 Sc 2.86
Si 0.7500 0.2500 0.2500  4 Na 2.86, 4 Sc 2.86
Si 0.7500 0.7500 0.7500  4 Na 2.86, 4 Sc 2.86

Output
For the total moment, the calculation gives 0.0 μB/cell. The electronic total energy comes out at -4.452 eV/atom. The energy relative to the elements, uncorrected comes out at -0.3 eV/f.u. As for the symmetry: F-43m.

***

# 2
PuMnPd | GGA-PBE | optimized geometry

a b c (Å): 4.7244 4.7244 3.0163
angles (deg): 90.00 90.00 120.00
Closest atoms and distances in Å follow each position.
Positions (direct):
Pu 0.0000 0.0000 0.0000  2 Pu 3.02, 6 Pd 3.12, 6 Mn 3.12
Mn 0.6667 0.3333 0.5000  3 Pd 2.73, 2 Mn 3.02
Pd 0.3333 0.6667 0.5000  3 Mn 2.73, 2 Pd 3.02

Output
Its formation energy is 0.1134 eV per atom. For the total moment, the calculation gives 9.6 μB/cell. Its excess energy over the best structure of this formula in the dataset is 0.296 eV per atom. The electronic total energy comes out at -9.451 eV/atom. As for the symmetry: P-6m2.

***

# 3
Ho3NiSb | GGA-PBE | optimized geometry

a b c (Å): 9.1229 9.1229 6.5122
angles (deg): 97.76 97.76 96.57
Closest atoms and distances in Å follow each position.
Positions (direct):
Ho 0.0247 0.7732 0.9894  1 Ni 2.76
Ho 0.1844 0.5592 0.3704  2 Ni 2.68-2.77
Ho 0.2268 0.9753 0.5106  1 Ni 2.76
Ho 0.2814 0.4616 0.8656  3 Ni 2.64-2.86
Ho 0.4408 0.8156 0.1296  2 Ni 2.68-2.77
Ho 0.4616 0.2814 0.3656  3 Ni 2.64-2.86
Ho 0.5384 0.7186 0.6344  3 Ni 2.64-2.86
Ho 0.5592 0.1844 0.8704  2 Ni 2.68-2.77
Ho 0.7186 0.5384 0.1344  3 Ni 2.64-2.86
Ho 0.7732 0.0247 0.4894  1 Ni 2.76
Ho 0.8156 0.4408 0.6296  2 Ni 2.68-2.77
Ho 0.9753 0.2268 0.0106  1 Ni 2.76
Ni 0.2508 0.7492 0.7500  6 Ho 2.76-2.86, 2 Sb 3.06
Ni 0.4525 0.5475 0.2500  6 Ho 2.64-2.73
Ni 0.5475 0.4525 0.7500  6 Ho 2.64-2.73
Ni 0.7492 0.2508 0.2500  6 Ho 2.76-2.86, 2 Sb 3.06
Sb 0.0570 0.2497 0.5028  1 Ni 3.06, 6 Ho 3.09-3.20
Sb 0.2497 0.0570 0.0028  1 Ni 3.06, 6 Ho 3.09-3.20
Sb 0.7503 0.9430 0.9972  1 Ni 3.06, 6 Ho 3.09-3.20
Sb 0.9430 0.7503 0.4972  1 Ni 3.06, 6 Ho 3.09-3.20

Output
For the total moment, the calculation gives 0.0 μB/cell. The electronic total energy comes out at -5.261 eV/atom. The energy relative to the elements, uncorrected comes out at -2.7 eV/f.u. As for the symmetry: C2/c.

***

# 4
LiHI2 | GGA-PBE | optimized geometry

a b c (Å): 6.1021 6.1021 11.3445
angles (deg): 90.00 90.00 90.00
Closest atoms and distances in Å follow each position.
Positions (direct):
Li 0.0000 0.0000 0.0000  4 I 2.77
Li 0.0000 0.5000 0.2500  4 I 2.77
Li 0.5000 0.0000 0.7500  4 I 2.77
Li 0.5000 0.5000 0.5000  4 I 2.77
H 0.0000 0.0000 0.5000  4 I 2.41
H 0.0000 0.5000 0.7500  4 I 2.41
H 0.5000 0.0000 0.2500  4 I 2.41
H 0.5000 0.5000 0.0000  4 I 2.41
I 0.1997 0.2500 0.6250  2 H 2.41
I 0.2500 0.6997 0.8750  2 H 2.41
I 0.2500 0.8003 0.3750  2 H 2.41
I 0.3003 0.2500 0.1250  2 H 2.41
I 0.6997 0.7500 0.1250  2 H 2.41
I 0.7500 0.1997 0.3750  2 H 2.41
I 0.7500 0.3003 0.8750  2 H 2.41
I 0.8003 0.7500 0.6250  2 H 2.41

Output
For the total moment, the calculation gives 0.0 μB/cell. Its excess energy over the best structure of this formula in the dataset is 0.292 eV per atom. The electronic total energy comes out at -2.358 eV/atom. As for the symmetry: I-42d.

***

# 5
HfSc9Tl2 | GGA-PBE | optimized geometry

a b c (Å): 4.5189 4.5189 13.7494
angles (deg): 90.00 90.00 90.00
Closest atoms and distances in Å follow each position.
Positions (direct):
Hf 0.0000 0.0000 0.0000  12 Sc 3.19-3.20
Sc 0.0000 0.5000 0.1641  2 Hf 3.19, 8 Sc 3.19-3.27, 2 Tl 3.26
Sc 0.0000 0.5000 0.5000  8 Sc 3.19-3.20, 4 Tl 3.20
Sc 0.0000 0.5000 0.8359  2 Hf 3.19, 8 Sc 3.19-3.27, 2 Tl 3.26
Sc 0.5000 0.0000 0.1641  2 Hf 3.19, 8 Sc 3.19-3.27, 2 Tl 3.26
Sc 0.5000 0.0000 0.5000  8 Sc 3.19-3.20, 4 Tl 3.20
Sc 0.5000 0.0000 0.8359  2 Hf 3.19, 8 Sc 3.19-3.27, 2 Tl 3.26
Sc 0.5000 0.5000 0.0000  8 Sc 3.19, 4 Hf 3.20
Sc 0.5000 0.5000 0.3363  8 Sc 3.19-3.27, 4 Tl 3.20
Sc 0.5000 0.5000 0.6637  8 Sc 3.19-3.27, 4 Tl 3.20
Tl 0.0000 0.0000 0.3350  12 Sc 3.20-3.26
Tl 0.0000 0.0000 0.6650  12 Sc 3.20-3.26

Output
Its formation energy is -0.1207 eV per atom. For the total moment, the calculation gives 2.0 μB/cell. The electronic total energy comes out at -6.093 eV/atom. As for the symmetry: P4/mmm.

***

# 6
SrLa2Mn | GGA-PBE | optimized geometry

a b c (Å): 12.6163 3.8047 6.9105
angles (deg): 90.00 121.32 90.00
Closest atoms and distances in Å follow each position.
Positions (direct):
Sr 0.0000 0.0000 0.0000  3 Mn 3.40-3.48, 2 Sr 3.80
Sr 0.5000 0.5000 0.0000  3 Mn 3.40-3.48, 2 Sr 3.80
La 0.1691 0.0000 0.6630  2 Mn 2.86
La 0.3663 0.0000 0.3713  2 Mn 2.85
La 0.6691 0.5000 0.6630  2 Mn 2.86
La 0.8663 0.5000 0.3713  2 Mn 2.85
Mn 0.2355 0.5000 0.0175  4 La 2.85-2.86
Mn 0.7355 0.0000 0.0175  4 La 2.85-2.86

Output
Its formation energy is 0.3460 eV per atom. For the total moment, the calculation gives 3.3 μB/cell. Its excess energy over the best structure of this formula in the dataset is 0.138 eV per atom. The electronic total energy comes out at -4.831 eV/atom. As for the symmetry: Cm.

***

# 7
SmPaMnS6 | GGA-PBE | optimized geometry

a b c (Å): 6.4243 6.4243 5.8882
angles (deg): 90.00 90.00 120.00
Closest atoms and distances in Å follow each position.
Positions (direct):
Sm 0.0000 0.0000 0.0000  6 S 2.76
Pa 0.6667 0.3333 0.5000  6 S 2.66
Mn 0.3333 0.6667 0.0000  6 S 2.38
S 0.0260 0.3803 0.2406  1 Mn 2.38, 1 Pa 2.66
S 0.0260 0.6456 0.7594  1 Mn 2.38, 1 Pa 2.66
S 0.3544 0.3803 0.7594  1 Mn 2.38, 1 Pa 2.66
S 0.3544 0.9740 0.2406  1 Mn 2.38, 1 Pa 2.66
S 0.6197 0.6456 0.2406  1 Mn 2.38, 1 Pa 2.66
S 0.6197 0.9740 0.7594  1 Mn 2.38, 1 Pa 2.66

Output
For the total moment, the calculation gives 3.0 μB/cell. The electronic total energy comes out at -6.479 eV/atom. The energy relative to the elements, uncorrected comes out at -10.2 eV/f.u. As for the symmetry: P312.

***

# 8
Ac4SiAsSe2 | GGA-PBE | optimized geometry

a b c (Å): 7.8473 4.5389 7.8618
angles (deg): 90.00 109.50 90.00
Closest atoms and distances in Å follow each position.
Positions (direct):
Ac 0.2382 0.0000 0.2432  2 Si 3.15, 1 As 3.18, 3 Se 3.24-3.27
Ac 0.2384 0.5000 0.7495  1 Si 3.14, 2 As 3.17, 3 Se 3.25-3.28
Ac 0.7618 0.0000 0.7568  2 Si 3.15, 1 As 3.18, 3 Se 3.24-3.27
Ac 0.7616 0.5000 0.2505  1 Si 3.14, 2 As 3.17, 3 Se 3.25-3.28
Si 0.0000 0.5000 0.0000  6 Ac 3.14-3.15
As 0.0000 0.0000 0.5000  6 Ac 3.17-3.18
Se 0.5000 0.0000 0.0000  6 Ac 3.24-3.25
Se 0.5000 0.5000 0.5000  6 Ac 3.27-3.28

Output
For the total moment, the calculation gives 0.0 μB/cell. The electronic total energy comes out at -5.701 eV/atom. The energy relative to the elements, uncorrected comes out at -12.1 eV/f.u. As for the symmetry: P2/m.

***

> What is the electronic total energy in the first record?

-4.452 eV/atom